Zr3ScBr | GGA-PBE | optimized geometry

Calculated values
* energy above the lowest structure with this stoichiometry: 906 meV per atom
* formation energy from raw total energies: 1.127 eV/atom

Cell lengths 5.1791, 5.1791, 5.1791 Å; angles 90.00, 90.00, 90.00 degrees
Closest atoms and distances in Å follow each position.
Atoms (fractional coordinates):
Br1 0.5000 0.5000 0.5000  12 Zr 3.66
Zr1 0.5000 0.0000 0.0000  2 Sc 2.59
Zr2 0.0000 0.0000 0.5000  2 Sc 2.59
Sc1 0.0000 0.0000 0.0000  6 Zr 2.59
Zr3 0.0000 0.5000 0.0000  2 Sc 2.59



CuSb2Os | GGA-PBE | optimized geometry

Calculated values
* energy above the lowest structure with this stoichiometry: 138 meV per atom
* formation energy from raw total energies: 0.436 eV/atom

Cell lengths 4.6844, 4.6844, 4.6844 Å; angles 60.00, 60.00, 60.00 degrees
Closest atoms and distances in Å follow each position.
Atoms (fractional coordinates):
Sb1 0.2500 0.2500 0.2500  4 Os 2.87, 4 Cu 2.87
Sb2 0.7500 0.7500 0.7500  4 Os 2.87, 4 Cu 2.87
Os1 0.5000 0.5000 0.5000  8 Sb 2.87
Cu1 0.0000 0.0000 0.0000  8 Sb 2.87